Record 1
KZrSe3 GGA-PBE relaxed; uncorrected formation energy = -1175 meV/atom; E = -5.195 eV per atom; offset from the most stable computed form = 0.000 eV per atom
1.0
-3.3092 0.2772 -2.1149
3.2573 -7.8469 -2.4607
-5.3723 0.0966 8.4188
K Zr Se
2 2 6
Direct
0.3924 0.7848 0.7120
0.6076 0.2152 0.2880
0.1897 0.3794 0.8096
0.8103 0.6206 0.1904
0.6450 0.2900 0.9611
0.0160 0.0321 0.6288
0.3550 0.7100 0.0389
0.7231 0.4462 0.6637
0.9840 0.9679 0.3712
0.2769 0.5538 0.3363



Record 2
KZr2Se GGA-PBE relaxed; uncorrected formation energy = 543 meV/atom; E = -4.876 eV per atom
1.0
5.1934 0.0000 0.0000
2.5967 4.4976 0.0000
2.5967 1.4992 4.2404
Se K Zr
1 1 2
Direct
0.7500 0.7500 0.7500
0.5000 0.5000 0.5000
0.0000 0.0000 0.0000
0.2500 0.2500 0.2500



Record 3
KZrSe2 GGA-PBE relaxed; uncorrected formation energy = -1085 meV/atom; E = -5.238 eV per atom
1.0
-2.4976 -3.3653 -1.2919
0.9103 -1.9362 3.2839
-5.4688 2.0999 5.1029
Zr Se K
1 2 1
Direct
0.0000 0.4346 0.2534
0.5000 0.3449 0.4382
0.0000 0.0539 0.0159
0.5000 0.6666 0.7926



Record 4
KZrSe2 GGA-PBE relaxed; uncorrected formation energy = -740 meV/atom; E = -4.893 eV per atom
1.0
4.9962 0.0035 -0.7145
2.4902 -4.3685 -0.4341
1.9121 -1.3822 -4.4617
K Se Zr
1 2 1
Direct
0.0000 0.0000 0.0000
0.2500 0.2500 0.2500
0.7500 0.7500 0.7500
0.5000 0.5000 0.5000



Record 5
KZr2Se GGA-PBE relaxed; uncorrected formation energy = -90 meV/atom; E = -5.510 eV per atom
1.0
-0.0730 0.9257 5.4031
2.7429 -0.7364 4.6893
3.8224 6.2760 0.4650
Se Zr K
1 2 1
Direct
0.2848 0.2848 0.1786
0.9705 0.9705 0.9588
0.7145 0.7145 0.9068
0.5302 0.5302 0.4559



Record 6
KZrSe2 GGA-PBE relaxed; uncorrected formation energy = -1036 meV/atom; E = -5.189 eV per atom
1.0
3.8067 0.0000 0.0000
0.0000 3.8067 0.0000
0.0000 0.0000 8.2403
Se Zr K
2 1 1
Direct
0.0000 0.0000 0.0003
0.5000 0.5000 0.4008
0.0000 0.0000 0.2966
0.5000 0.5000 0.8023



Record 7
KZrSe2 GGA-PBE relaxed; uncorrected formation energy = -1055 meV/atom; E = -5.209 eV per atom
1.0
7.6615 0.0000 0.0000
0.0000 7.6615 0.0000
3.8307 3.8307 4.5966
Zr K Se
2 2 4
Direct
0.0000 0.0000 0.0000
0.7500 0.2500 0.5000
0.5000 0.5000 0.0000
0.2500 0.7500 0.5000
0.6976 0.1250 0.2500
0.8750 0.9476 0.7500
0.3750 0.3024 0.7500
0.0524 0.6250 0.2500



Record 8
KZrSe2 GGA-PBE relaxed; uncorrected formation energy = -456 meV/atom; E = -4.610 eV per atom
1.0
-2.6982 0.8211 -5.6423
-2.7653 -4.5423 -3.3928
0.1936 2.4366 5.8151
Se Zr K
2 1 1
Direct
0.2500 0.7500 0.5000
0.0000 0.0000 0.0000
0.5000 0.5000 0.0000
0.7500 0.2500 0.5000



Record 9
KZrSe3 GGA-PBE relaxed; uncorrected formation energy = 912 meV/atom; E = -3.108 eV per atom; offset from the most stable computed form = 2.087 eV per atom
1.0
5.3028 0.0000 0.0000
0.0000 5.3028 0.0000
0.0000 0.0000 5.3028
Zr Se K
1 3 1
Direct
0.5000 0.5000 0.5000
0.0000 0.0000 0.5000
0.5000 0.0000 0.0000
0.0000 0.5000 0.0000
0.0000 0.0000 0.0000



Record 10
KZr5Se8 GGA-PBE relaxed; uncorrected formation energy = -1374 meV/atom; E = -6.496 eV per atom
1.0
3.7027 0.0000 -0.7241
-0.4702 9.5274 -2.4041
0.0182 -0.0038 9.9214
Zr Se K
5 8 1
Direct
0.3371 0.0016 0.6741
0.6629 0.9983 0.3258
0.7084 0.3536 0.4168
0.2916 0.6463 0.5832
0.0000 0.0000 0.0000
0.2455 0.1756 0.4910
0.9118 0.1768 0.8237
0.1562 0.4988 0.3124
0.5749 0.1730 0.1498
0.0881 0.8231 0.1762
0.8438 0.5012 0.6876
0.7545 0.8243 0.5089
0.4251 0.8270 0.8502
0.5001 0.5003 0.0002



Record 11
KZr2Se GGA-PBE relaxed; uncorrected formation energy = -57 meV/atom; E = -5.476 eV per atom
1.0
3.3361 0.0053 0.0000
-0.0044 3.3361 0.0000
0.0000 0.0000 10.0088
Zr K Se
2 1 1
Direct
0.0000 0.0000 0.5927
0.0000 0.0000 0.9073
0.5000 0.5000 0.2500
0.5000 0.5000 0.7500



Record 12
KZrSe2 GGA-PBE relaxed; uncorrected formation energy = -1188 meV/atom; E = -5.342 eV per atom
1.0
-3.2957 0.6504 0.8013
0.7565 -0.2978 3.3530
2.3628 7.4508 3.6700
Se Zr K
2 1 1
Direct
0.0000 0.5492 0.4511
0.0000 0.9508 0.0489
0.5000 0.2500 0.2500
0.5000 0.7500 0.7500



Record 13
KZrSe2 GGA-PBE relaxed; uncorrected formation energy = -1260 meV/atom; E = -5.413 eV per atom
1.0
-0.8780 -2.0461 -3.1995
1.2983 -4.8340 2.7351
-8.8371 -0.7353 2.8953
Se Zr K
4 2 2
Direct
0.0000 0.0000 0.3859
0.5000 0.5000 0.6141
0.0000 0.0000 0.8006
0.5000 0.5000 0.1994
0.0000 0.5000 0.4049
0.5000 0.0000 0.5951
0.0000 0.5000 0.9088
0.5000 0.0000 0.0912



Record 14
KZr2Se GGA-PBE relaxed; uncorrected formation energy = -122 meV/atom; E = -5.541 eV per atom
1.0
-0.8467 4.8411 4.2570
-3.7761 3.3545 4.0944
0.6337 -1.8063 5.0963
Zr Se K
2 1 1
Direct
0.9457 0.9457 0.0793
0.5543 0.5543 0.4207
0.2500 0.2500 0.2500
0.7500 0.7500 0.7500



Record 15
KZr2Se GGA-PBE relaxed; uncorrected formation energy = 464 meV/atom; E = -4.956 eV per atom
1.0
-5.4800 -1.1586 -1.4707
-1.4719 -5.5913 0.3259
2.5945 3.7799 3.5379
Zr Se K
2 1 1
Direct
0.0000 0.0000 0.0000
0.2500 0.7500 0.5000
0.7500 0.2500 0.5000
0.5000 0.5000 0.0000



Record 16
KZrSe2 GGA-PBE relaxed; uncorrected formation energy = 83 meV/atom; E = -4.071 eV per atom
1.0
-4.7270 -1.3588 1.2246
-1.2454 -0.7443 4.8565
-3.0487 3.2855 2.3666
K Se Zr
1 2 1
Direct
0.5000 0.5000 0.5000
0.0000 0.0000 0.0000
0.2500 0.2500 0.2500
0.7500 0.7500 0.7500



Record 17
K3ZrSe GGA-PBE relaxed; uncorrected formation energy = 960 meV/atom; E = -2.105 eV per atom; offset from the most stable computed form = 0.614 eV per atom
1.0
6.2698 0.0000 0.0000
0.0000 6.2698 0.0000
0.0000 0.0000 6.2698
K Zr Se
3 1 1
Direct
0.0000 0.5000 0.0000
0.0000 0.0000 0.5000
0.5000 0.0000 0.0000
0.0000 0.0000 0.0000
0.5000 0.5000 0.5000



Record 18
KZr2Se GGA-PBE relaxed; uncorrected formation energy = 278 meV/atom; E = -5.142 eV per atom
1.0
3.7168 0.0000 0.0000
0.0000 4.8089 0.0000
0.0000 0.0000 5.5978
K Zr Se
1 2 1
Direct
0.5000 0.0000 0.5000
0.0000 0.0000 0.0000
0.5000 0.5000 0.0000
0.0000 0.5000 0.5000



Record 19
K2Si GGA-PBE relaxed; uncorrected formation energy = 44 meV/atom; E = -2.496 eV per atom; offset from the most stable computed form = 0.002 eV per atom
1.0
-3.2414 -2.5306 -8.8646
-0.6382 -5.4879 -8.0603
-5.2254 -4.2097 1.4344
K Si
4 2
Direct
0.6665 0.6665 0.1581
0.3335 0.3335 0.8419
0.0865 0.0865 0.7032
0.9135 0.9135 0.2968
0.7374 0.7374 0.5970
0.2626 0.2626 0.4030



Record 20
KSi3 GGA-PBE relaxed; uncorrected formation energy = 192 meV/atom; E = -4.149 eV per atom; offset from the most stable computed form = 0.023 eV per atom
1.0
-3.8533 -2.1150 -0.0628
-1.3583 -3.6453 -2.0473
0.9600 -4.6436 4.7876
Si K
3 1
Direct
0.2251 0.2251 0.3730
0.5000 0.5000 0.5000
0.7749 0.7749 0.6270
0.0000 0.0000 0.0000



Record 21
K2Si GGA-PBE relaxed; uncorrected formation energy = 447 meV/atom; E = -2.093 eV per atom; offset from the most stable computed form = 0.405 eV per atom
1.0
-3.3511 -0.8968 -4.7021
-0.9533 -3.0504 4.8918
-4.9374 5.5029 2.4693
K Si
4 2
Direct
0.6667 0.3333 0.2500
0.0000 0.0000 0.5000
0.3333 0.6667 0.7500
0.0000 0.0000 0.0000
0.3333 0.6667 0.2500
0.6667 0.3333 0.7500



Record 22
KSi3 GGA-PBE relaxed; uncorrected formation energy = 268 meV/atom; E = -4.074 eV per atom; offset from the most stable computed form = 0.099 eV per atom
1.0
6.7016 -0.0863 -0.0531
5.4539 3.8953 -0.0531
5.4539 1.7091 3.5008
Si K
3 1
Direct
0.5000 0.5000 0.5000
0.7983 0.7983 0.7983
0.2017 0.2017 0.2017
0.0000 0.0000 0.0000



Record 23
KSi3 GGA-PBE relaxed; uncorrected formation energy = 2584 meV/atom; E = -1.758 eV per atom; offset from the most stable computed form = 2.415 eV per atom
1.0
5.7560 0.0000 0.0000
0.0000 5.7560 0.0000
0.0000 0.0000 5.7560
K Si
1 3
Direct
0.0000 0.0000 0.0000
0.0000 0.5000 0.0000
0.0000 0.0000 0.5000
0.5000 0.0000 0.0000



Record 24
K3Si4 GGA-PBE relaxed; uncorrected formation energy = 946 meV/atom; E = -2.623 eV per atom
1.0
0.8411 2.8490 -6.3365
-1.6570 -6.7728 0.5995
-4.9787 1.2077 -0.1179
Si K
4 3
Direct
0.0000 0.0000 0.7735
0.3333 0.6667 0.5000
0.0000 0.0000 0.2265
0.6667 0.3333 0.5000
0.0000 0.5000 0.0000
0.5000 0.0000 0.0000
0.5000 0.5000 0.0000



Record 25
KSi2 GGA-PBE relaxed; uncorrected formation energy = 409 meV/atom; E = -3.573 eV per atom; offset from the most stable computed form = 0.379 eV per atom
1.0
-8.6443 -4.7781 -0.5351
7.3127 -2.2908 -6.2545
1.3243 -2.6792 2.5296
Si K
6 3
Direct
0.7196 0.7196 0.0000
0.0000 0.3962 0.5000
0.3962 0.0000 0.5000
0.0000 0.2804 0.0000
0.6038 0.6038 0.5000
0.2804 0.0000 0.0000
0.3333 0.6667 0.0000
0.6667 0.3333 0.0000
0.0000 0.0000 0.5000



Record 26
KSi2 GGA-PBE relaxed; uncorrected formation energy = 65 meV/atom; E = -3.917 eV per atom; offset from the most stable computed form = 0.035 eV per atom
1.0
1.8494 6.5612 -0.0078
-1.8494 6.5612 -0.0078
0.0000 3.8453 6.7122
K Si
2 4
Direct
0.4466 0.4466 0.2966
0.5534 0.5534 0.7034
0.8081 0.8081 0.7445
0.1910 0.1910 0.9442
0.1919 0.1919 0.2555
0.8090 0.8090 0.0558



Record 27
K2Si GGA-PBE relaxed; uncorrected formation energy = 565 meV/atom; E = -1.974 eV per atom; offset from the most stable computed form = 0.523 eV per atom
1.0
4.1425 0.0000 0.0000
-2.0713 3.5876 0.0000
0.0000 0.0000 9.1196
K Si
2 1
Direct
0.3333 0.6667 0.2566
0.6667 0.3333 0.7434
0.0000 0.0000 0.0000



Record 28
K2Si GGA-PBE relaxed; uncorrected formation energy = 425 meV/atom; E = -2.115 eV per atom; offset from the most stable computed form = 0.383 eV per atom
1.0
-3.3923 2.4562 -3.9475
-4.4864 -3.0424 1.9623
-1.7646 5.9802 5.2374
Si K
2 4
Direct
0.0000 0.0000 0.0000
0.5000 0.5000 0.5000
0.0000 0.4997 0.7504
0.0000 0.5003 0.2496
0.5000 0.9997 0.7496
0.5000 0.0003 0.2504